1.
# CaTa3Ga | Alexandria via LeMat-Bulk | PBE | relaxed
# Crystal system: cubic
# Formation energy from the elements (meV/atom): 1122
# Density of states at the Fermi level (states/eV/f.u.): 3.08
# Density (g/cm3): 9.31
# E above lowest polymorph (eV/f.u.): 0.00
data_CaTa3Ga
_chemical_formula_sum 'Ca1 Ta3 Ga1'
_cell_length_a 4.8818
_cell_length_b 4.8818
_cell_length_c 4.8818
_cell_angle_alpha 90.00
_cell_angle_beta 90.00
_cell_angle_gamma 90.00
_space_group_name_H-M_alt 'P m -3 m'
_space_group_IT_number 221
_space_group_name_Hall '-P 4 2 3'
loop_
_atom_site_label
_atom_site_fract_x
_atom_site_fract_y
_atom_site_fract_z
Ca1 0.0000 0.0000 0.0000
Ta1 0.0000 0.5000 0.5000
Ga1 0.5000 0.5000 0.5000

---

2.
# Ac5Ga2Ag2 | Alexandria via LeMat-Bulk | PBE | relaxed
# Crystal system: orthorhombic
# Formation energy from the elements (meV/atom): -277
# Density of states at the Fermi level (states/eV/f.u.): 9.19
# Density (g/cm3): 8.22
# E above lowest polymorph (eV/f.u.): 0.31
data_Ac5Ga2Ag2
_chemical_formula_sum 'Ac20 Ga8 Ag8'
_cell_length_a 16.9350
_cell_length_b 8.3047
_cell_length_c 8.5625
_cell_angle_alpha 90.00
_cell_angle_beta 90.00
_cell_angle_gamma 90.00
_space_group_name_H-M_alt 'C m c e'
_space_group_IT_number 64
_space_group_name_Hall '-C 2ac 2'
loop_
_atom_site_label
_atom_site_fract_x
_atom_site_fract_y
_atom_site_fract_z
Ac1 0.0000 0.0000 0.0000
Ac2 0.1440 0.1738 0.3293
Ga1 0.2061 0.0000 0.0000
Ag1 0.0000 0.1200 0.6220

---

3.
# CoPS2N | Alexandria via LeMat-Bulk | PBE | relaxed
# Crystal system: monoclinic
# Density of states at the Fermi level (states/eV/f.u.): 1.91
# Density (g/cm3): 3.10
# E above lowest polymorph (eV/f.u.): 0.87
data_CoPS2N
_chemical_formula_sum 'Co1 P1 S2 N1'
_cell_length_a 4.6916
_cell_length_b 3.0509
_cell_length_c 6.5028
_cell_angle_alpha 90.00
_cell_angle_beta 104.52
_cell_angle_gamma 90.00
_space_group_name_H-M_alt 'P 1 m 1'
_space_group_IT_number 6
_space_group_name_Hall 'P -2y'
loop_
_atom_site_label
_atom_site_fract_x
_atom_site_fract_y
_atom_site_fract_z
Co1 0.0000 0.0000 0.0000
P1 0.3443 0.5000 0.9185
S1 0.5585 0.0000 0.7554
S2 0.8954 0.5000 0.2201
N1 0.5343 0.5000 0.1689

---

4.
# BaTc2Te | Alexandria via LeMat-Bulk | PBE | relaxed
# Crystal system: monoclinic
# E_tot (eV per atom): -6.08
# Density of states at the Fermi level (states/eV/f.u.): 2.20
# Density (g/cm3): 6.66
data_BaTc2Te
_chemical_formula_sum 'Ba1 Tc2 Te1'
_cell_length_a 3.9835
_cell_length_b 5.0484
_cell_length_c 5.7201
_cell_angle_alpha 90.00
_cell_angle_beta 93.19
_cell_angle_gamma 90.00
_space_group_name_H-M_alt 'P 1 2/m 1'
_space_group_IT_number 10
_space_group_name_Hall '-P 2y'
loop_
_atom_site_label
_atom_site_fract_x
_atom_site_fract_y
_atom_site_fract_z
Ba1 0.0000 0.0000 0.0000
Tc1 0.2528 0.5000 0.6073
Te1 0.5000 0.0000 0.5000

---

5.
# NdCu3Ge3 | Alexandria via LeMat-Bulk | PBE | relaxed
# Crystal system: cubic
# Formation energy from the elements (meV/atom): 34
# Density of states at the Fermi level (states/eV/f.u.): 3.74
# Density (g/cm3): 6.39
# E above lowest polymorph (eV/f.u.): 1.30
data_NdCu3Ge3
_chemical_formula_sum 'Nd2 Cu6 Ge6'
_cell_length_a 6.5979
_cell_length_b 6.5979
_cell_length_c 6.5979
_cell_angle_alpha 90.00
_cell_angle_beta 90.00
_cell_angle_gamma 90.00
_space_group_name_H-M_alt 'P m -3 n'
_space_group_IT_number 223
_space_group_name_Hall '-P 4n 2 3'
loop_
_atom_site_label
_atom_site_fract_x
_atom_site_fract_y
_atom_site_fract_z
Nd1 0.0000 0.0000 0.0000
Cu1 0.0000 0.2500 0.5000
Ge1 0.0000 0.5000 0.2500

---

6.
# Cd4InPb5 | Alexandria via LeMat-Bulk | PBE | relaxed
# Crystal system: monoclinic
# Formation energy from the elements (meV/atom): 67
# Density of states at the Fermi level (states/eV/f.u.): 4.66
# Density (g/cm3): 9.25
data_Cd4InPb5
_chemical_formula_sum 'Cd8 In2 Pb10'
_cell_length_a 18.4000
_cell_length_b 4.4237
_cell_length_c 7.0593
_cell_angle_alpha 90.00
_cell_angle_beta 90.64
_cell_angle_gamma 90.00
_space_group_name_H-M_alt 'C 1 2/m 1'
_space_group_IT_number 12
_space_group_name_Hall '-C 2y'
loop_
_atom_site_label
_atom_site_fract_x
_atom_site_fract_y
_atom_site_fract_z
Cd1 0.0767 0.0000 0.2648
Cd2 0.1729 0.5000 0.4404
In1 0.0000 0.5000 0.5000
Pb1 0.0000 0.5000 0.0000
Pb2 0.1123 0.0000 0.7717
Pb3 0.2424 0.0000 0.1704

---

7.
# Na2TeSe3 | Alexandria via LeMat-Bulk | PBE | relaxed
# Crystal system: monoclinic
# Density (g/cm3): 4.20
# E above lowest polymorph (eV/f.u.): 0.15
data_Na2TeSe3
_chemical_formula_sum 'Na8 Te4 Se12'
_cell_length_a 13.6661
_cell_length_b 6.0699
_cell_length_c 8.2038
_cell_angle_alpha 90.00
_cell_angle_beta 107.48
_cell_angle_gamma 90.00
_space_group_name_H-M_alt 'C 1 2/c 1'
_space_group_IT_number 15
_space_group_name_Hall '-C 2yc'
loop_
_atom_site_label
_atom_site_fract_x
_atom_site_fract_y
_atom_site_fract_z
Na1 0.1660 0.0041 0.0827
Te1 0.0000 0.4573 0.2500
Se1 0.0000 0.0397 0.2500
Se2 0.1508 0.4970 0.5756

---

8.
# SrMg2GeIr2 | Alexandria via LeMat-Bulk | PBE | relaxed
# Crystal system: tetragonal
# Formation energy from the elements (meV/atom): -176
# Density of states at the Fermi level (states/eV/f.u.): 4.52
# Density (g/cm3): 7.10
data_SrMg2GeIr2
_chemical_formula_sum 'Sr1 Mg2 Ge1 Ir2'
_cell_length_a 4.7232
_cell_length_b 4.7232
_cell_length_c 6.2243
_cell_angle_alpha 90.00
_cell_angle_beta 90.00
_cell_angle_gamma 90.00
_space_group_name_H-M_alt 'P 4/m m m'
_space_group_IT_number 123
_space_group_name_Hall '-P 4 2'
loop_
_atom_site_label
_atom_site_fract_x
_atom_site_fract_y
_atom_site_fract_z
Sr1 0.0000 0.0000 0.0000
Mg1 0.5000 0.5000 0.2602
Ge1 0.0000 0.0000 0.5000
Ir1 0.0000 0.5000 0.5000

---

9.
# ZrTa2In | Alexandria via LeMat-Bulk | PBE | relaxed
# Crystal system: orthorhombic
# Formation energy from the elements (meV/atom): 42
# Density of states at the Fermi level (states/eV/f.u.): 4.77
# Density (g/cm3): 11.65
data_ZrTa2In
_chemical_formula_sum 'Zr2 Ta4 In2'
_cell_length_a 3.5246
_cell_length_b 4.8086
_cell_length_c 9.5566
_cell_angle_alpha 90.00
_cell_angle_beta 90.00
_cell_angle_gamma 90.00
_space_group_name_H-M_alt 'C m m 2'
_space_group_IT_number 35
_space_group_name_Hall 'C 2 -2'
loop_
_atom_site_label
_atom_site_fract_x
_atom_site_fract_y
_atom_site_fract_z
Zr1 0.0000 0.0000 0.0000
Ta1 0.0000 0.0000 0.5220
Ta2 0.0000 0.5000 0.7518
In1 0.0000 0.5000 0.2696

---

10.
# Sb2TeMoP | Alexandria via LeMat-Bulk | PBE | relaxed
# Crystal system: tetragonal
# Density of states at the Fermi level (states/eV/f.u.): 5.14
# Density (g/cm3): 5.93
# E above lowest polymorph (eV/f.u.): 0.00
data_Sb2TeMoP
_chemical_formula_sum 'Sb2 Te1 Mo1 P1'
_cell_length_a 5.2180
_cell_length_b 5.2180
_cell_length_c 5.1188
_cell_angle_alpha 90.00
_cell_angle_beta 90.00
_cell_angle_gamma 90.00
_space_group_name_H-M_alt 'P 4/m m m'
_space_group_IT_number 123
_space_group_name_Hall '-P 4 2'
loop_
_atom_site_label
_atom_site_fract_x
_atom_site_fract_y
_atom_site_fract_z
Sb1 0.0000 0.5000 0.0000
Te1 0.0000 0.0000 0.5000
Mo1 0.0000 0.0000 0.0000
P1 0.5000 0.5000 0.5000

---

11.
# ZnHgAs4 | Alexandria via LeMat-Bulk | PBE | relaxed
# Crystal system: cubic
# Formation energy from the elements (meV/atom): 387
# Density of states at the Fermi level (states/eV/f.u.): 2.53
# Density (g/cm3): 7.38
data_ZnHgAs4
_chemical_formula_sum 'Zn4 Hg4 As16'
_cell_length_a 7.9833
_cell_length_b 7.9833
_cell_length_c 7.9833
_cell_angle_alpha 90.00
_cell_angle_beta 90.00
_cell_angle_gamma 90.00
_space_group_name_H-M_alt 'F -4 3 m'
_space_group_IT_number 216
_space_group_name_Hall 'F -4 2 3'
loop_
_atom_site_label
_atom_site_fract_x
_atom_site_fract_y
_atom_site_fract_z
Zn1 0.0000 0.0000 0.0000
Hg1 0.2500 0.2500 0.2500
As1 0.1250 0.1250 0.6250

---

12.
# IrPb2O6 | Alexandria via LeMat-Bulk | PBE | relaxed
# Crystal system: orthorhombic
# Density of states at the Fermi level (states/eV/f.u.): 2.05
# Density (g/cm3): 8.54
# E above lowest polymorph (eV/f.u.): 0.00
data_IrPb2O6
_chemical_formula_sum 'Ir2 Pb4 O12'
_cell_length_a 5.2272
_cell_length_b 5.7540
_cell_length_c 9.0828
_cell_angle_alpha 90.00
_cell_angle_beta 90.00
_cell_angle_gamma 90.00
_space_group_name_H-M_alt 'P n n m'
_space_group_IT_number 58
_space_group_name_Hall '-P 2 2n'
loop_
_atom_site_label
_atom_site_fract_x
_atom_site_fract_y
_atom_site_fract_z
Ir1 0.0000 0.0000 0.0000
Pb1 0.0000 0.5000 0.1922
O1 0.1934 0.2952 0.0000
O2 0.2062 0.8493 0.1530

---

13.
# NaSiRuN2 | Alexandria via LeMat-Bulk | PBE | relaxed
# Crystal system: tetragonal
# E_tot (eV per atom): -5.40
# Density of states at the Fermi level (states/eV/f.u.): 5.15
# Density (g/cm3): 4.70
data_NaSiRuN2
_chemical_formula_sum 'Na1 Si1 Ru1 N2'
_cell_length_a 3.7058
_cell_length_b 3.7058
_cell_length_c 4.6356
_cell_angle_alpha 90.00
_cell_angle_beta 90.00
_cell_angle_gamma 90.00
_space_group_name_H-M_alt 'P 4/m m m'
_space_group_IT_number 123
_space_group_name_Hall '-P 4 2'
loop_
_atom_site_label
_atom_site_fract_x
_atom_site_fract_y
_atom_site_fract_z
Na1 0.0000 0.0000 0.0000
Si1 0.5000 0.5000 0.5000
Ru1 0.5000 0.5000 0.0000
N1 0.0000 0.5000 0.5000